[1]
La2Ni | meta-GGA SCAN | PBEsol geometry

Unit cell a=6.0564 b=6.6447 c=4.2527 alpha=90.00 beta=90.00 gamma=90.00
With the nearest neighbours (Å) after each atom.
Positions (direct):
La (0.1178, 0.2397, 0.0000)  3 Ni 2.75-2.89
La (0.3822, 0.7397, 0.5000)  3 Ni 2.75-2.89
La (0.6178, 0.2603, 0.5000)  3 Ni 2.75-2.89
La (0.8822, 0.7603, 0.0000)  3 Ni 2.75-2.89
Ni (0.0000, 0.0000, 0.5000)  6 La 2.75-2.89
Ni (0.5000, 0.5000, 0.0000)  6 La 2.75-2.89

Symmetry: Pnnm, No. 58
DFT formation energy in meV/atom: -166
Volume in Å³/cell: 171

[2]
Mo4C3 | meta-GGA SCAN | PBEsol geometry

Unit cell a=4.2646 b=4.2646 c=4.2646 alpha=90.00 beta=90.00 gamma=90.00
With the nearest neighbours (Å) after each atom.
Positions (direct):
Mo (0.0000, 0.0000, 0.0000)  6 C 2.13
Mo (0.0000, 0.5000, 0.5000)  4 C 2.13
Mo (0.5000, 0.0000, 0.5000)  4 C 2.13
Mo (0.5000, 0.5000, 0.0000)  4 C 2.13
C (0.0000, 0.0000, 0.5000)  6 Mo 2.13
C (0.0000, 0.5000, 0.0000)  6 Mo 2.13
C (0.5000, 0.0000, 0.0000)  6 Mo 2.13

Symmetry: Pm-3m, No. 221
DFT formation energy in meV/atom: 152
Volume in Å³/cell: 78

[3]
NbC2Br | meta-GGA SCAN | PBEsol geometry

Unit cell a=5.7434 b=5.7434 c=5.7434 alpha=90.00 beta=90.00 gamma=90.00
With the nearest neighbours (Å) after each atom.
Positions (direct):
Nb (0.0000, 0.0000, 0.0000)  8 C 2.49
Nb (0.0000, 0.5000, 0.5000)  8 C 2.49
Nb (0.5000, 0.0000, 0.5000)  8 C 2.49
Nb (0.5000, 0.5000, 0.0000)  8 C 2.49
C (0.2500, 0.2500, 0.2500)  4 Nb 2.49, 4 Br 2.49
C (0.2500, 0.2500, 0.7500)  4 Nb 2.49, 4 Br 2.49
C (0.2500, 0.7500, 0.2500)  4 Nb 2.49, 4 Br 2.49
C (0.2500, 0.7500, 0.7500)  4 Br 2.49, 4 Nb 2.49
C (0.7500, 0.2500, 0.2500)  4 Nb 2.49, 4 Br 2.49
C (0.7500, 0.2500, 0.7500)  4 Br 2.49, 4 Nb 2.49
C (0.7500, 0.7500, 0.2500)  4 Br 2.49, 4 Nb 2.49
C (0.7500, 0.7500, 0.7500)  4 Nb 2.49, 4 Br 2.49
Br (0.0000, 0.0000, 0.5000)  8 C 2.49
Br (0.0000, 0.5000, 0.0000)  8 C 2.49
Br (0.5000, 0.0000, 0.0000)  8 C 2.49
Br (0.5000, 0.5000, 0.5000)  8 C 2.49

Symmetry: Fm-3m, No. 225
Volume in Å³/cell: 189

[4]
Hf2Hg2Mo | meta-GGA SCAN | PBEsol geometry

Unit cell a=3.8859 b=3.8859 c=13.5470 alpha=90.00 beta=90.00 gamma=90.00
With the nearest neighbours (Å) after each atom.
Positions (direct):
Hf (0.0000, 0.5000, 0.2500)  4 Hf 2.75, 4 Hg 2.86
Hf (0.0000, 0.5000, 0.7500)  4 Hf 2.75, 4 Hg 2.86
Hf (0.5000, 0.0000, 0.2500)  4 Hf 2.75, 4 Hg 2.86
Hf (0.5000, 0.0000, 0.7500)  4 Hf 2.75, 4 Hg 2.86
Hg (0.0000, 0.0000, 0.0954)  1 Hg 2.59, 4 Hf 2.86
Hg (0.0000, 0.0000, 0.9046)  1 Hg 2.59, 4 Hf 2.86
Hg (0.5000, 0.5000, 0.4046)  1 Hg 2.59, 4 Hf 2.86
Hg (0.5000, 0.5000, 0.5954)  1 Hg 2.59, 4 Hf 2.86
Mo (0.0000, 0.0000, 0.5000)  8 Hg 3.04
Mo (0.5000, 0.5000, 0.0000)  8 Hg 3.04

Symmetry: I4/mmm, No. 139
DFT formation energy in meV/atom: 697
Volume in Å³/cell: 205

[5]
SbTe2PtRh | meta-GGA SCAN | PBEsol geometry

Unit cell a=5.5912 b=5.5912 c=4.8077 alpha=90.00 beta=90.00 gamma=90.00
With the nearest neighbours (Å) after each atom.
Positions (direct):
Sb (0.0000, 0.0000, 0.0000)  2 Pt 2.40
Te (0.0000, 0.5000, 0.0000)  2 Sb 2.80
Te (0.5000, 0.0000, 0.0000)  2 Sb 2.80
Pt (0.0000, 0.0000, 0.5000)  2 Sb 2.40
Rh (0.5000, 0.5000, 0.5000)  8 Te 3.69, 4 Pt 3.95

Symmetry: P4/mmm, No. 123
Excess energy over the best structure of this formula in the dataset in eV/f.u.: 2.76
Volume in Å³/cell: 150

[6]
ScPOs2 | meta-GGA SCAN | PBEsol geometry

Unit cell a=2.8665 b=3.9701 c=5.1613 alpha=90.00 beta=90.00 gamma=90.00
With the nearest neighbours (Å) after each atom.
Positions (direct):
Sc (0.0000, 0.0000, 0.0000)  2 Os 2.55-2.62, 4 P 2.79
P (0.5000, 0.5000, 0.7393)  1 Os 2.32
Os (0.0000, 0.0000, 0.5069)  2 Sc 2.55-2.62, 4 Os 2.69, 4 P 2.73
Os (0.5000, 0.5000, 0.2893)  1 P 2.32

Symmetry: Pmm2, No. 25
DFT formation energy in meV/atom: -184
Volume in Å³/cell: 59

[7]
LiB2Os | meta-GGA SCAN | PBEsol geometry

Unit cell a=3.7812 b=3.7812 c=14.3688 alpha=90.00 beta=90.00 gamma=90.00
With the nearest neighbours (Å) after each atom.
Positions (direct):
Li (0.0000, 0.2500, 0.3750)  4 Os 2.67, 8 B 2.77
Li (0.0000, 0.7500, 0.6250)  4 Os 2.67, 8 B 2.77
Li (0.5000, 0.2500, 0.1250)  4 Os 2.67, 8 B 2.77
Li (0.5000, 0.7500, 0.8750)  4 Os 2.67, 8 B 2.77
B (0.0000, 0.0000, 0.0000)  2 B 1.89, 2 Os 2.03
B (0.0000, 0.5000, 0.0000)  2 B 1.89, 2 Os 2.03
B (0.2500, 0.2500, 0.7500)  2 B 1.89, 2 Os 2.03
B (0.2500, 0.7500, 0.2500)  2 B 1.89, 2 Os 2.03
B (0.5000, 0.0000, 0.5000)  2 B 1.89, 2 Os 2.03
B (0.5000, 0.5000, 0.5000)  2 B 1.89, 2 Os 2.03
B (0.7500, 0.2500, 0.7500)  2 B 1.89, 2 Os 2.03
B (0.7500, 0.7500, 0.2500)  2 B 1.89, 2 Os 2.03
Os (0.0000, 0.2500, 0.8750)  4 B 2.03
Os (0.0000, 0.7500, 0.1250)  4 B 2.03
Os (0.5000, 0.2500, 0.6250)  4 B 2.03
Os (0.5000, 0.7500, 0.3750)  4 B 2.03

Symmetry: I4_1/amd, No. 141
DFT formation energy in meV/atom: 463
Volume in Å³/cell: 205

[8]
YOs2Au | meta-GGA SCAN | PBEsol geometry

Unit cell a=2.9029 b=2.9029 c=8.1178 alpha=90.00 beta=90.00 gamma=90.00
With the nearest neighbours (Å) after each atom.
Positions (direct):
Y (0.0000, 0.0000, 0.0000)  4 Y 2.90, 4 Os 3.03, 4 Au 3.06
Os (0.0000, 0.0000, 0.5324)  4 Os 2.58
Os (0.5000, 0.5000, 0.7258)  4 Os 2.58
Au (0.5000, 0.5000, 0.2800)  4 Os 2.90, 4 Au 2.90, 4 Y 3.06

Symmetry: P4mm, No. 99
Excess energy over the best structure of this formula in the dataset in eV/f.u.: 0.00
DFT formation energy in meV/atom: 26
Volume in Å³/cell: 68

Number 1: raw total energy -102.88 eV/f.u.. Number 2: raw total energy -168.78 eV/f.u.. Number 3: raw total energy -63.03 eV/f.u.. Number 4: raw total energy -293.08 eV/f.u.. Number 5: raw total energy -209.43 eV/f.u.. Number 6: raw total energy -169.13 eV/f.u.. Number 7: raw total energy -87.28 eV/f.u.. Number 8: raw total energy -240.65 eV/f.u..